No. 1
A geometry-optimized NaPrCdPt structure, computed with PBE.

**Calculated volume**: 90.2 Å³/cell
**DOS at the Fermi energy**: 4.2 states/eV per cell
**Total magnetic moment**: 0.00 Bohr magnetons per cell
**Formation enthalpy at 0 K**: -1.646 eV per formula unit
**Final energy**: -3.68 eV/atom

The structure in extended XYZ format:
```
4
Lattice="0.000 3.560 3.560 3.560 0.000 3.560 3.560 3.560 0.000" Properties=species:S:1:pos:R:3 pbc="T T T"
Na 0.000 0.000 0.000
Pr 5.340 5.340 5.340
Cd 1.780 1.780 1.780
Pt 3.560 3.560 3.560
```

No. 2
A geometry-optimized Na2PrCdSb2 structure, computed with PBE.

**Calculated volume**: 344.1 Å³/cell
**DOS at the Fermi energy**: 5.0 states/eV per cell
**Total magnetic moment**: 0.00 Bohr magnetons per cell
**E_form (uncorrected)**: -3.3 eV per formula unit
**Final energy**: -3.32 eV/atom

The structure in extended XYZ format:
```
12
Lattice="4.668 0.000 0.000 0.000 9.571 0.000 0.000 0.000 7.701" Properties=species:S:1:pos:R:3 pbc="T T T"
Na 0.000 0.692 0.000
Na 0.000 8.880 3.850
Na 2.334 1.593 2.402
Na 2.334 7.978 6.253
Pr 2.334 4.216 7.162
Pr 2.334 5.355 3.312
Cd 0.000 3.009 4.705
Cd 0.000 6.562 0.855
Sb 0.000 3.594 1.702
Sb 0.000 5.977 5.552
Sb 2.334 1.476 5.530
Sb 2.334 8.096 1.680
```

No. 3
A geometry-optimized NaPrCdSb structure, computed with PBE.

**Calculated volume**: 112.0 Å³/cell
**DOS at the Fermi energy**: 3.3 states/eV per cell
**Total magnetic moment**: 0.00 Bohr magnetons per cell
**E_form (uncorrected)**: -1.7 eV per formula unit
**Final energy**: -3.21 eV/atom

The structure in extended XYZ format:
```
4
Lattice="0.000 3.826 3.826 3.826 0.000 3.826 3.826 3.826 0.000" Properties=species:S:1:pos:R:3 pbc="T T T"
Na 0.000 0.000 0.000
Pr 3.826 3.826 3.826
Cd 5.739 5.739 5.739
Sb 1.913 1.913 1.913
```

No. 4
A geometry-optimized NaSrPrCd structure, computed with PBE.

**Calculated volume**: 134.3 Å³/cell
**DOS at the Fermi energy**: 2.5 states/eV per cell
**Total magnetic moment**: 0.00 Bohr magnetons per cell
**Formation enthalpy at 0 K**: -0.147 eV per formula unit
**Final energy**: -2.21 eV/atom

The structure in extended XYZ format:
```
4
Lattice="0.000 4.064 4.064 4.064 0.000 4.064 4.064 4.064 0.000" Properties=species:S:1:pos:R:3 pbc="T T T"
Na 0.000 0.000 0.000
Sr 2.032 2.032 2.032
Pr 6.097 6.097 6.097
Cd 4.064 4.064 4.064
```

No. 5
A geometry-optimized NaTbPrCd structure, computed with PBE.

**Calculated volume**: 117.9 Å³/cell
**DOS at the Fermi energy**: 5.4 states/eV per cell
**Total magnetic moment**: 0.78 Bohr magnetons per cell
**Formation enthalpy at 0 K**: 0.067 eV per formula unit
**Final energy**: -2.89 eV/atom

The structure in extended XYZ format:
```
4
Lattice="0.000 3.892 3.892 3.892 0.000 3.892 3.892 3.892 0.000" Properties=species:S:1:pos:R:3 pbc="T T T"
Na 0.000 0.000 0.000
Tb 1.946 1.946 1.946
Pr 5.837 5.837 5.837
Cd 3.892 3.892 3.892
```

No. 6
A geometry-optimized NaPrYCd structure, computed with PBE.

**Calculated volume**: 117.8 Å³/cell
**DOS at the Fermi energy**: 5.2 states/eV per cell
**Total magnetic moment**: 0.85 Bohr magnetons per cell
**Formation enthalpy at 0 K**: 0.008 eV per formula unit
**Final energy**: -3.37 eV/atom

The structure in extended XYZ format:
```
4
Lattice="0.000 3.890 3.890 3.890 0.000 3.890 3.890 3.890 0.000" Properties=species:S:1:pos:R:3 pbc="T T T"
Na 0.000 0.000 0.000
Pr 1.945 1.945 1.945
Y 5.835 5.835 5.835
Cd 3.890 3.890 3.890
```

No. 7
A geometry-optimized NaCdPt structure, computed with PBE.

**Calculated volume**: 178.2 Å³/cell
**DOS at the Fermi energy**: 2.5 states/eV per cell
**Total magnetic moment**: 0.00 Bohr magnetons per cell
**Energy above the lowest structure with this stoichiometry**: 478 meV per atom
**Formation enthalpy at 0 K**: 0.471 eV per formula unit
**Final energy**: -2.60 eV/atom

The structure in extended XYZ format:
```
6
Lattice="3.924 -4.968 0.000 3.924 4.968 0.000 0.000 0.000 4.570" Properties=species:S:1:pos:R:3 pbc="T T T"
Na 3.924 2.933 0.000
Na 3.924 -2.933 0.000
Cd 0.000 0.000 2.285
Cd 3.924 0.000 0.000
Pt 2.572 0.000 2.285
Pt 5.276 0.000 2.285
```

No. 8
A geometry-optimized NaCd8Pt4 structure, computed with PBE.

**Calculated volume**: 265.6 Å³/cell
**DOS at the Fermi energy**: 4.3 states/eV per cell
**Total magnetic moment**: 0.00 Bohr magnetons per cell
**Formation enthalpy at 0 K**: -4.070 eV per formula unit
**Final energy**: -2.84 eV/atom

The structure in extended XYZ format:
```
13
Lattice="-4.793 4.793 2.891 4.793 -4.793 2.891 4.793 4.793 -2.891" Properties=species:S:1:pos:R:3 pbc="T T T"
Na 0.000 0.000 0.000
Cd 3.109 0.000 0.000
Cd 6.476 0.000 0.000
Cd 4.793 2.664 0.000
Cd 0.000 3.109 0.000
Cd 2.664 4.793 0.000
Cd 2.129 0.000 2.891
Cd 0.000 6.476 0.000
Cd 0.000 2.129 2.891
Pt 2.396 2.396 -1.446
Pt 2.396 -2.396 1.446
Pt -2.396 2.396 1.446
Pt 2.396 2.396 1.446
```

No. 9
A geometry-optimized NaCd8Pt2 structure, computed with PBE.

**Calculated volume**: 260.3 Å³/cell
**DOS at the Fermi energy**: 3.5 states/eV per cell
**Total magnetic moment**: 0.00 Bohr magnetons per cell
**Formation enthalpy at 0 K**: -1.570 eV per formula unit
**Final energy**: -2.03 eV/atom

The structure in extended XYZ format:
```
11
Lattice="4.232 -5.919 0.000 4.232 5.919 0.000 -1.062 0.000 5.197" Properties=species:S:1:pos:R:3 pbc="T T T"
Na 0.000 0.000 0.000
Cd 1.046 1.487 3.218
Cd 4.232 2.730 0.000
Cd 1.046 -1.487 3.218
Cd 2.999 0.000 1.112
Cd 4.401 0.000 4.085
Cd 6.355 1.487 1.979
Cd 4.232 -2.730 0.000
Cd 6.355 -1.487 1.979
Pt 3.700 2.268 2.599
Pt 3.700 -2.268 2.599
```

No. 10
A geometry-optimized NaCdPt structure, computed with PBE.

**Calculated volume**: 115.5 Å³/cell
**DOS at the Fermi energy**: 1.9 states/eV per cell
**Total magnetic moment**: 0.00 Bohr magnetons per cell
**Energy above the lowest structure with this stoichiometry**: 130 meV per atom
**Formation enthalpy at 0 K**: -0.574 eV per formula unit
**Final energy**: -2.95 eV/atom

The structure in extended XYZ format:
```
6
Lattice="4.635 -2.153 0.000 4.635 2.153 0.000 -1.788 0.000 5.789" Properties=species:S:1:pos:R:3 pbc="T T T"
Na 1.332 0.000 0.431
Na 6.151 0.000 5.358
Cd 0.467 0.000 3.379
Cd 7.016 0.000 2.410
Pt 3.232 0.000 4.195
Pt 4.251 0.000 1.594
```

No. 11
A geometry-optimized Na3Cd9Pt2 structure, computed with PBE.

**Calculated volume**: 319.1 Å³/cell
**DOS at the Fermi energy**: 6.1 states/eV per cell
**Total magnetic moment**: 0.00 Bohr magnetons per cell
**Formation enthalpy at 0 K**: -2.161 eV per formula unit
**Final energy**: -1.89 eV/atom

The structure in extended XYZ format:
```
14
Lattice="-2.337 5.564 6.136 2.337 -5.564 6.136 2.337 5.564 -6.136" Properties=species:S:1:pos:R:3 pbc="T T T"
Na 0.000 0.000 0.000
Na 0.000 0.000 3.627
Na 0.000 0.000 8.645
Cd 2.337 -1.450 1.620
Cd 2.337 -2.398 4.486
Cd 2.337 1.450 1.620
Cd 0.000 3.166 1.650
Cd 0.000 5.564 0.000
Cd 2.337 2.398 4.486
Cd 0.000 4.114 4.516
Cd 0.000 7.962 1.650
Cd 0.000 7.014 4.516
Pt 2.337 3.820 0.000
Pt 0.000 1.744 6.136
```

No. 12
A geometry-optimized Na2Cd4Pt structure, computed with PBE.

**Calculated volume**: 215.7 Å³/cell
**DOS at the Fermi energy**: 2.5 states/eV per cell
**Total magnetic moment**: 0.00 Bohr magnetons per cell
**Formation enthalpy at 0 K**: -0.390 eV per formula unit
**Final energy**: -1.82 eV/atom

The structure in extended XYZ format:
```
7
Lattice="-2.626 2.626 7.822 2.626 -2.626 7.822 2.626 2.626 -7.822" Properties=species:S:1:pos:R:3 pbc="T T T"
Na 0.000 0.000 2.055
Na 0.000 0.000 13.588
Cd 2.626 0.000 0.000
Cd 0.000 0.000 5.135
Cd 0.000 2.626 0.000
Cd 0.000 0.000 10.508
Pt 0.000 0.000 7.822
```